1.
First-principles (PBE) data for a geometry-optimized Th2UPaP4 structure, as listed in the Alexandria database.

Cell: 7.007 4.041 7.028 Å, 90.00 109.38 90.00°
Fractional coordinates of all 8 atoms:
Th: 0.000 0.000 0.000
Th: 0.500 0.500 0.000
U: 0.000 0.500 0.500
Pa: 0.500 0.000 0.500
P: 0.244 0.000 0.735
P: 0.254 0.500 0.264
P: 0.746 0.500 0.736
P: 0.756 0.000 0.265

electronic total energy	-0.62410	Ry per atom
V	23.5	A^3/atom



2.
First-principles (PBE) data for a geometry-optimized LiCaSbPd structure, as listed in the Alexandria database.

Cell: 6.791 6.791 6.791 Å, 90.00 90.00 90.00°
Fractional coordinates of all 16 atoms:
Li: 0.000 0.000 0.000
Li: 0.000 0.500 0.500
Li: 0.500 0.000 0.500
Li: 0.500 0.500 0.000
Ca: 0.250 0.250 0.750
Ca: 0.250 0.750 0.250
Ca: 0.750 0.250 0.250
Ca: 0.750 0.750 0.750
Sb: 0.250 0.250 0.250
Sb: 0.250 0.750 0.750
Sb: 0.750 0.250 0.750
Sb: 0.750 0.750 0.250
Pd: 0.000 0.000 0.500
Pd: 0.000 0.500 0.000
Pd: 0.500 0.000 0.000
Pd: 0.500 0.500 0.500

electronic total energy	-0.29940	Ry per atom
ΔE_f (raw)	-0.7658	eV per atom
V	19.6	A^3/atom



3.
First-principles (PBE) data for a geometry-optimized In2Te2Au structure, as listed in the Alexandria database.

Cell: 6.887 6.887 10.770 Å, 91.60 91.60 36.38°
Fractional coordinates of all 10 atoms:
In: 0.083 0.144 0.383
In: 0.144 0.083 0.883
In: 0.856 0.917 0.117
In: 0.917 0.856 0.617
Te: 0.323 0.372 0.908
Te: 0.372 0.323 0.408
Te: 0.628 0.677 0.592
Te: 0.677 0.628 0.092
Au: 0.463 0.537 0.250
Au: 0.537 0.463 0.750

electronic total energy	-0.23441	Ry per atom
ΔE_f (raw)	-0.1818	eV per atom
offset from the most stable computed form	0	meV per atom
V	30.3	A^3/atom



4.
First-principles (PBE) data for a geometry-optimized BaAc8Ni4 structure, as listed in the Alexandria database.

Cell: 10.723 10.723 10.723 Å, 92.49 92.49 155.96°
Fractional coordinates of all 13 atoms:
Ba: 0.000 0.000 0.000
Ac: 0.043 0.666 0.708
Ac: 0.306 0.649 0.955
Ac: 0.334 0.043 0.377
Ac: 0.351 0.306 0.657
Ac: 0.649 0.694 0.343
Ac: 0.666 0.957 0.623
Ac: 0.694 0.351 0.045
Ac: 0.957 0.334 0.292
Ni: 0.154 0.326 0.481
Ni: 0.326 0.846 0.172
Ni: 0.674 0.154 0.828
Ni: 0.846 0.674 0.519

electronic total energy	-0.33676	Ry per atom
V	37.8	A^3/atom



5.
First-principles (PBE) data for a geometry-optimized YSiTeN2 structure, as listed in the Alexandria database.

Cell: 4.301 4.301 6.298 Å, 90.00 90.00 90.00°
Fractional coordinates of all 5 atoms:
Y: 0.000 0.000 0.000
Si: 0.500 0.500 0.500
Te: 0.000 0.000 0.500
N: 0.000 0.500 0.000
N: 0.500 0.000 0.000

electronic total energy	-0.39137	Ry per atom
ΔE_f (raw)	1.0111	eV per atom
offset from the most stable computed form	691	meV per atom
V	23.3	A^3/atom



6.
First-principles (PBE) data for a geometry-optimized V2MoIr5Ru structure, as listed in the Alexandria database.

Cell: 7.381 7.381 7.381 Å, 122.25 122.25 86.15°
Fractional coordinates of all 18 atoms:
V: 0.105 0.605 0.710
V: 0.395 0.105 0.500
V: 0.605 0.895 0.500
V: 0.895 0.395 0.290
Mo: 0.250 0.250 0.000
Mo: 0.750 0.750 0.000
Ir: 0.000 0.000 0.000
Ir: 0.077 0.167 0.500
Ir: 0.167 0.667 0.090
Ir: 0.333 0.423 0.500
Ir: 0.423 0.923 0.090
Ir: 0.500 0.500 0.000
Ir: 0.577 0.077 0.910
Ir: 0.667 0.577 0.500
Ir: 0.833 0.333 0.910
Ir: 0.923 0.833 0.500
Ru: 0.250 0.750 0.500
Ru: 0.750 0.250 0.500

electronic total energy	-0.65613	Ry per atom
V	15.2	A^3/atom



7.
First-principles (PBE) data for a geometry-optimized ScAl2Tc structure, as listed in the Alexandria database.

Cell: 2.836 4.282 5.522 Å, 90.00 101.75 90.00°
Fractional coordinates of all 4 atoms:
Sc: 0.000 0.000 0.000
Al: 0.426 0.500 0.728
Al: 0.574 0.500 0.272
Tc: 0.000 0.000 0.500

electronic total energy	-0.46873	Ry per atom
offset from the most stable computed form	82	meV per atom
V	16.4	A^3/atom



8.
First-principles (PBE) data for a geometry-optimized Ac2TmAgSe5 structure, as listed in the Alexandria database.

Cell: 9.263 9.263 12.762 Å, 90.00 90.00 153.24°
Fractional coordinates of all 18 atoms:
Ac: 0.111 0.889 0.500
Ac: 0.126 0.874 0.122
Ac: 0.874 0.126 0.622
Ac: 0.889 0.111 0.000
Tm: 0.195 0.805 0.823
Tm: 0.805 0.195 0.323
Ag: 0.443 0.557 0.271
Ag: 0.557 0.443 0.771
Se: 0.049 0.951 0.885
Se: 0.288 0.712 0.475
Se: 0.305 0.695 0.168
Se: 0.354 0.646 0.815
Se: 0.498 0.502 0.585
Se: 0.502 0.498 0.085
Se: 0.646 0.354 0.315
Se: 0.695 0.305 0.668
Se: 0.712 0.288 0.975
Se: 0.951 0.049 0.385

electronic total energy	-0.39178	Ry per atom
ΔE_f (raw)	-1.6680	eV per atom
V	27.4	A^3/atom